[1]
# La2SnI8

A relaxed structure of La2SnI8 (PBE-GGA, Alexandria).

extended XYZ file:
```
11
Lattice="12.435 -2.241 0.000 12.435 2.241 0.000 -1.409 0.000 9.148" Properties=species:S:1:pos:R:3 pbc="T T T"
La 3.437 0.000 3.055
La 20.026 0.000 6.094
Sn 12.435 0.000 0.000
I 0.076 0.000 2.268
I 5.124 0.000 6.137
I 7.870 0.000 8.596
I 8.946 0.000 4.280
I 14.516 0.000 4.868
I 15.592 0.000 0.552
I 18.338 0.000 3.012
I 23.386 0.000 6.881
```

- Total DFT energy (no corrections): -3.6267 eV per atom
- Magnetization: 0.00 μB/cell
- Crystal system: monoclinic
- ΔE_f (raw): -1.24 eV/atom

=====

[2]
# La7SnI12

A relaxed structure of La7SnI12 (PBE-GGA, Alexandria).

extended XYZ file:
```
20
Lattice="8.305 4.795 3.621 -8.305 4.795 3.621 0.000 -9.589 3.621" Properties=species:S:1:pos:R:3 pbc="T T T"
La 0.000 0.000 0.000
La -1.824 -1.741 3.650
La -0.596 2.451 3.650
La 2.420 -0.709 3.650
La -2.420 0.709 7.213
La 0.596 -2.451 7.213
La 1.824 1.741 7.213
Sn 0.000 0.000 5.431
I -2.638 0.763 1.707
I 0.658 -2.666 1.707
I -4.477 -1.114 5.441
I -1.274 -4.434 5.421
I 1.980 1.903 1.707
I -3.203 3.320 5.421
I 3.203 -3.320 5.441
I -1.980 -1.903 9.156
I 1.274 4.434 5.441
I 4.477 1.114 5.421
I -0.658 2.666 9.156
I 2.638 -0.763 9.156
```

- Total DFT energy (no corrections): -4.2156 eV per atom
- Magnetization: 0.20 μB/cell
- Crystal system: trigonal
- ΔE_f (raw): -1.36 eV/atom

=====

[3]
# La3SnI

A relaxed structure of La3SnI (PBE-GGA, Alexandria).

extended XYZ file:
```
5
Lattice="5.901 0.000 0.000 0.000 5.901 0.000 0.000 0.000 5.901" Properties=species:S:1:pos:R:3 pbc="T T T"
La 0.000 0.000 2.951
La 0.000 2.951 0.000
La 2.951 0.000 0.000
Sn 2.951 2.951 2.951
I 0.000 0.000 0.000
```

- Polymorph energy (0 for the lowest one): 512.4 meV per atom
- Total DFT energy (no corrections): -4.2008 eV per atom
- Magnetization: 0.00 μB/cell
- Crystal system: cubic
- ΔE_f (raw): -0.13 eV/atom

=====

[4]
# LaSnI2

A relaxed structure of LaSnI2 (PBE-GGA, Alexandria).

extended XYZ file:
```
16
Lattice="8.046 0.000 0.000 0.000 8.046 0.000 0.000 0.000 8.046" Properties=species:S:1:pos:R:3 pbc="T T T"
La 0.000 0.000 0.000
La 0.000 4.023 4.023
La 4.023 0.000 4.023
La 4.023 4.023 0.000
Sn 0.000 0.000 4.023
Sn 0.000 4.023 0.000
Sn 4.023 0.000 0.000
Sn 4.023 4.023 4.023
I 2.012 2.012 2.012
I 2.012 2.012 6.035
I 2.012 6.035 2.012
I 2.012 6.035 6.035
I 6.035 2.012 2.012
I 6.035 2.012 6.035
I 6.035 6.035 2.012
I 6.035 6.035 6.035
```

- Polymorph energy (0 for the lowest one): 0.0 meV per atom
- Total DFT energy (no corrections): -3.5598 eV per atom
- Magnetization: 0.00 μB/cell
- Crystal system: cubic
- ΔE_f (raw): -0.55 eV/atom